12
Lattice="-2.121 -2.279 -4.248 -3.904 -1.139 2.561 -1.696 5.231 -0.259" Properties=species:S:1:pos:R:3 comment="TcPdO4 PBE relaxed" e_above_lowest_polymorph_mev_per_atom=89 m_tot_mub_per_fu=0.0 energy_ev_per_atom=-6.79 spacegroup="P2_1/c (14)" e_form_raw_ev_per_fu=-5.33 pbc="T T T"
O -3.069 3.679 0.106
O -4.653 -1.866 -2.054
O -3.356 2.766 -2.525
O -4.664 1.694 1.015
O -5.199 0.708 -1.454
O -3.058 0.119 -2.962
O -2.523 1.105 -0.493
O -4.366 -0.952 0.578
Tc -1.909 1.476 -2.254
Tc -2.800 2.046 1.151
Pd 0.000 0.000 0.000
Pd -3.013 -1.709 -0.844

***

16
Lattice="-3.884 -5.310 -1.028 4.467 -4.083 4.210 -4.169 1.846 6.214" Properties=species:S:1:pos:R:3 comment="CaInAu2 PBE relaxed" m_tot_mub_per_fu=0.0 energy_ev_per_atom=-3.39 ef_mev_per_atom=-568 spacegroup="Pnma (62)" pbc="T T T"
Au -0.531 -4.072 3.704
Au -3.054 -3.474 5.691
Au -4.304 -4.864 0.485
Au 0.719 -2.683 8.910
Au -2.510 -6.504 2.176
Au -1.075 -1.043 7.219
Au -4.848 -1.835 4.000
Au 1.263 -5.712 5.395
Ca -1.720 -0.992 4.090
Ca -3.365 -4.831 8.567
Ca -1.866 -6.554 5.305
Ca -0.221 -2.715 0.828
In -5.816 -3.786 5.728
In 2.231 -3.761 3.667
In -3.110 -3.858 2.786
In -0.475 -3.688 6.610

***

18
Lattice="-4.936 3.135 -0.762 1.743 -3.810 -4.149 -5.997 -8.219 5.029" Properties=species:S:1:pos:R:3 comment="BaCeBiO6 PBE relaxed" m_tot_mub_per_fu=1.1 energy_ev_per_atom=-6.54 spacegroup="P-31c (163)" e_form_raw_ev_per_fu=-17.41 pbc="T T T"
O -4.089 -9.390 1.656
O -3.280 -6.713 1.657
O -5.227 -0.980 1.239
O -5.910 -2.181 -1.539
O -5.100 0.496 -1.538
O -3.365 -3.114 -0.029
O -5.825 -5.780 0.147
O -2.728 -0.059 0.383
O -6.462 -8.835 -0.265
O -6.268 -7.323 2.437
O -2.922 -1.571 -2.319
O -3.963 -7.914 -1.121
Ba -2.998 -4.109 2.515
Ba 0.000 0.000 0.000
Ce -7.207 -5.344 1.881
Ce -1.983 -3.550 -1.763
Bi -4.981 -7.659 0.752
Bi -4.209 -1.235 -0.634

***

6
Lattice="-2.045 -2.551 -3.526 2.934 -2.159 3.138 -4.573 -1.150 3.484" Properties=species:S:1:pos:R:3 comment="Er2PaRu3 PBE relaxed" e_above_lowest_polymorph_mev_per_atom=0 m_tot_mub_per_fu=0.0 energy_ev_per_atom=-8.27 ef_mev_per_atom=-526 spacegroup="P-3m1 (164)" pbc="T T T"
Pa 0.000 0.000 0.000
Ru -2.286 -0.575 1.742
Ru -4.273 -3.397 1.658
Ru 0.589 -2.462 1.439
Er -1.726 -3.044 3.203
Er -1.958 -2.815 -0.106

***

12
Lattice="-0.508 1.009 -4.192 -0.182 -8.508 -2.026 -8.872 1.555 3.699" Properties=species:S:1:pos:R:3 comment="Dy2Y3HoTe6 PBE relaxed" m_tot_mub_per_fu=0.0 energy_ev_per_atom=-5.62 spacegroup="C2/m (12)" e_form_raw_ev_per_fu=-15.47 pbc="T T T"
Y -6.356 0.451 -1.369
Y -3.206 -6.395 -1.151
Y -0.345 -3.750 -3.109
Ho -0.254 0.505 -2.096
Te -9.515 -3.833 -2.017
Te -6.160 -2.183 0.222
Te -3.402 -3.762 -2.741
Te -6.268 -6.426 -0.787
Te -0.047 -2.111 -0.503
Te -3.294 0.482 -1.733
Dy -6.451 -3.797 -2.380
Dy -3.111 -2.148 -0.140

***

11
Lattice="8.803 0.752 -0.667 -3.706 6.375 -1.619 -0.366 -1.161 11.126" Properties=species:S:1:pos:R:3 comment="LiTh2I8 PBE relaxed" m_tot_mub_per_fu=1.0 energy_ev_per_atom=-3.81 spacegroup="P-1 (2)" e_form_raw_ev_per_fu=-12.74 pbc="T T T"
I -1.680 4.727 8.003
I 3.726 4.758 2.181
I 5.393 2.113 5.054
I 6.411 1.240 0.837
I 1.715 0.440 2.374
I 1.005 1.209 6.658
I 3.015 5.526 6.465
I -0.662 3.853 3.786
Th -0.770 0.665 4.099
Th 5.500 5.302 4.740
Li 0.000 0.000 0.000

***

4
Lattice="3.516 0.000 0.000 0.000 5.221 0.032 0.000 3.368 4.787" Properties=species:S:1:pos:R:3 comment="RhSeCl2 PBE relaxed" e_above_lowest_polymorph_mev_per_atom=73 m_tot_mub_per_fu=0.0 energy_ev_per_atom=-3.93 spacegroup="Pm (6)" e_form_raw_ev_per_fu=-1.17 pbc="T T T"
Cl 1.758 2.756 1.668
Cl 0.000 8.558 4.795
Se 1.758 5.748 3.189
Rh 0.000 4.410 2.393

***

6
Lattice="-1.116 1.141 -4.273 -0.001 -4.383 1.265 -5.014 0.410 1.419" Properties=species:S:1:pos:R:3 comment="Ta2Co PBE relaxed" m_tot_mub_per_fu=0.0 energy_ev_per_atom=-10.24 ef_mev_per_atom=31 spacegroup="P6_3/mmc (194)" pbc="T T T"
Co -1.626 -2.439 -0.227
Co -4.505 -0.393 -1.363
Ta -1.998 -0.598 -2.073
Ta 0.000 0.000 0.000
Ta -2.507 0.205 0.709
Ta -4.133 -2.234 0.483

***

11
Lattice="4.084 0.000 0.000 0.000 7.605 1.361 -2.042 -1.622 9.901" Properties=species:S:1:pos:R:3 comment="Tm8Te2Os PBE relaxed" m_tot_mub_per_fu=0.0 energy_ev_per_atom=-5.30 spacegroup="C2/m (12)" e_form_raw_ev_per_fu=-4.98 pbc="T T T"
Tm 2.042 0.106 10.133
Tm 2.042 -0.330 2.648
Tm 2.042 4.263 6.457
Tm 0.000 2.758 8.809
Tm 0.000 5.878 1.129
Tm 0.000 1.721 4.805
Tm 0.000 6.313 8.614
Tm 2.042 3.225 2.453
Os 2.042 0.000 0.000
Te 0.000 4.808 4.196
Te 2.042 1.175 7.066

***

4
Lattice="5.123 -0.034 0.000 -2.082 4.681 0.000 0.000 0.000 2.678" Properties=species:S:1:pos:R:3 comment="Li2CdFe PBE relaxed" m_tot_mub_per_fu=2.5 energy_ev_per_atom=-3.08 ef_mev_per_atom=216 spacegroup="Cmmm (65)" pbc="T T T"
Cd 2.562 -0.017 1.339
Li 1.521 2.324 0.000
Li 0.000 0.000 0.000
Fe -1.041 2.341 1.339

***

20
Lattice="-2.260 -0.773 -2.063 1.610 -8.111 1.276 -5.613 -0.138 6.203" Properties=species:S:1:pos:R:3 comment="Be2V2GaFe5 PBE relaxed" m_tot_mub_per_fu=4.5 energy_ev_per_atom=-7.19 ef_mev_per_atom=-84 spacegroup="P4/mbm (127)" pbc="T T T"
Be -0.073 -3.087 1.236
Be -0.711 -7.178 3.469
Be -3.931 -5.162 6.243
Be -3.293 -1.071 4.010
Fe -2.056 -3.921 1.308
Fe -5.444 -1.057 3.948
Fe -5.086 -6.910 5.749
Fe -0.325 -4.442 -0.393
Fe -1.178 -2.112 -0.332
Fe -2.403 -6.217 2.549
Fe -0.819 -7.965 1.469
Fe -3.937 -0.456 2.070
Fe -3.861 -2.805 2.868
Fe -4.208 -5.101 4.109
V -1.550 -1.457 2.244
V 0.108 -5.491 1.940
V -4.111 -2.758 5.540
V -2.454 -6.792 5.235
Ga 0.000 0.000 0.000
Ga -2.002 -4.124 3.740

***

5
Lattice="5.412 0.000 0.000 0.000 5.043 0.000 0.000 0.000 5.412" Properties=species:S:1:pos:R:3 comment="RbSnPtSe2 PBE relaxed" m_tot_mub_per_fu=0.0 energy_ev_per_atom=-3.80 spacegroup="P4/mmm (123)" e_form_raw_ev_per_fu=-1.04 pbc="T T T"
Pt 0.000 0.000 0.000
Se 0.000 0.000 2.706
Se 2.706 0.000 0.000
Rb 2.706 2.521 2.706
Sn 0.000 2.521 0.000

***

4
Lattice="-1.787 3.456 -0.322 -2.397 1.228 2.825 4.475 4.924 4.354" Properties=species:S:1:pos:R:3 comment="Ce2FeBr PBE relaxed" m_tot_mub_per_fu=0.9 energy_ev_per_atom=-6.11 spacegroup="R-3m (166)" e_form_raw_ev_per_fu=-2.43 pbc="T T T"
Ce -0.291 2.194 1.496
Ce 0.582 7.414 5.360
Br 0.145 4.804 3.428
Fe 0.000 0.000 0.000

***

4
Lattice="4.017 0.000 0.000 0.000 2.738 -0.051 0.000 0.880 4.850" Properties=species:S:1:pos:R:3 comment="MgBe2Pt PBE relaxed" m_tot_mub_per_fu=0.0 energy_ev_per_atom=-3.98 ef_mev_per_atom=-207 spacegroup="P2/m (10)" pbc="T T T"
Be 0.000 3.398 4.571
Be 0.000 2.028 2.628
Mg 2.008 0.904 1.200
Pt 2.008 2.713 3.599

***

10
Lattice="-0.335 -3.226 2.614 1.988 -4.587 -2.087 7.447 -0.041 4.223" Properties=species:S:1:pos:R:3 comment="Li2As2Rh PBE relaxed" e_above_lowest_polymorph_mev_per_atom=62 m_tot_mub_per_fu=0.0 energy_ev_per_atom=-4.66 ef_mev_per_atom=-563 spacegroup="C2/m (12)" pbc="T T T"
Rh 2.691 -2.826 3.495
Rh 6.409 -5.028 1.254
As 5.490 -6.014 3.239
As 2.543 -3.926 -1.201
As 3.610 -1.840 1.511
As 6.557 -3.928 5.950
Li 8.031 -5.619 4.052
Li 3.481 -4.762 1.207
Li 5.619 -3.092 3.542
Li 1.070 -2.235 0.698

***

12
Lattice="-1.231 5.612 -2.082 -0.709 -4.837 -3.667 -10.270 -1.339 5.445" Properties=species:S:1:pos:R:3 comment="Dy2Y3HoEr6 PBE relaxed" m_tot_mub_per_fu=0.0 energy_ev_per_atom=-5.02 ef_mev_per_atom=23 spacegroup="C2/m (12)" pbc="T T T"
Er -2.950 -1.881 -0.345
Er -4.008 0.248 -2.956
Er -3.124 1.602 0.184
Er -9.260 1.317 0.040
Er -8.203 -0.812 2.652
Er -9.086 -2.166 -0.488
Y -6.105 -0.282 -0.152
Y -5.931 -3.765 -0.680
Y -6.279 3.201 0.376
Dy -0.883 -1.354 -3.139
Dy -1.057 2.129 -2.610
Ho 0.000 0.000 0.000

***

12
Lattice="-1.249 -5.086 -3.741 -1.060 -4.911 4.013 -9.196 2.060 0.178" Properties=species:S:1:pos:R:3 comment="ThTlCu2Cl8 PBE relaxed" m_tot_mub_per_fu=1.1 energy_ev_per_atom=-3.96 spacegroup="P-1 (2)" e_form_raw_ev_per_fu=-14.74 pbc="T T T"
Cl -10.918 -5.414 0.408
Cl -3.216 -4.616 -1.854
Cl -8.406 -3.491 -1.753
Cl -3.100 -4.446 2.202
Cl -8.290 -3.320 2.303
Cl -6.113 -5.654 0.317
Cl -5.392 -2.282 0.132
Cl -0.587 -2.523 0.041
Tl -4.598 1.030 0.089
Cu -4.297 -4.277 0.197
Cu -7.209 -3.659 0.252
Th 0.000 0.000 0.000

***

3
Lattice="-1.966 4.856 2.624 -3.542 4.335 -1.728 -4.347 -0.403 1.623" Properties=species:S:1:pos:R:3 comment="BaTeAu PBE relaxed" e_above_lowest_polymorph_mev_per_atom=128 m_tot_mub_per_fu=0.0 energy_ev_per_atom=-3.56 spacegroup="I4mm (107)" e_form_raw_ev_per_fu=-2.33 pbc="T T T"
Ba -4.725 2.720 1.386
Te -5.152 6.245 1.119
Au -5.487 9.014 0.910

***

5
Lattice="3.657 0.000 0.000 0.000 3.657 0.000 1.829 1.829 5.980" Properties=species:S:1:pos:R:3 comment="Ni2Ag2Ru PBE relaxed" e_above_lowest_polymorph_mev_per_atom=290 m_tot_mub_per_fu=3.6 energy_ev_per_atom=-4.51 ef_mev_per_atom=798 spacegroup="I4/mmm (139)" pbc="T T T"
Ag 3.657 1.829 2.990
Ag 1.829 3.657 2.990
Ni 3.657 3.657 4.875
Ni 1.829 1.829 1.105
Ru 0.000 0.000 0.000

***

12
Lattice="3.692 0.014 -1.076 -0.998 6.417 -3.343 0.060 -0.464 7.071" Properties=species:S:1:pos:R:3 comment="CoNi5Pt6 PBE relaxed" m_tot_mub_per_fu=8.0 energy_ev_per_atom=-6.12 ef_mev_per_atom=-102 spacegroup="Immm (71)" pbc="T T T"
Pt 0.220 2.523 0.786
Pt 1.098 4.819 -3.045
Pt -0.279 5.731 -0.885
Pt 1.596 1.611 -1.374
Pt 3.033 0.236 3.537
Pt 2.534 3.444 1.866
Ni 1.814 4.128 -0.597
Ni 0.940 1.839 3.249
Ni 0.447 5.058 1.596
Ni -0.499 3.209 -1.671
Ni 2.307 0.909 1.056
Co 0.000 0.000 0.000